*one*
A plane-wave DFT calculation with PBE-GGA was carried out for crystalline Pa3Co9B2 at its relaxed geometry.

Results
total moment: 0.00 μB per formula unit
calculated volume: 356 Å³/cell

Cell and atoms, written as POSCAR:
```
Pa3Co9B2
1.0
5.482 0.000 0.000
-2.741 4.747 0.000
0.000 0.000 13.668
Pa Co B
6 18 4
direct
0.000 0.000 0.250
0.000 0.000 0.750
0.333 0.667 0.079
0.333 0.667 0.421
0.667 0.333 0.579
0.667 0.333 0.921
0.001 0.500 0.750
0.159 0.318 0.580
0.159 0.318 0.920
0.159 0.841 0.580
0.159 0.841 0.920
0.318 0.159 0.080
0.318 0.159 0.420
0.500 0.001 0.250
0.500 0.500 0.250
0.500 0.500 0.750
0.500 0.999 0.750
0.682 0.841 0.580
0.682 0.841 0.920
0.841 0.159 0.080
0.841 0.159 0.420
0.841 0.682 0.080
0.841 0.682 0.420
0.999 0.500 0.250
0.333 0.667 0.658
0.333 0.667 0.842
0.667 0.333 0.158
0.667 0.333 0.342
```

***

*two*
A plane-wave DFT calculation with PBE-GGA was carried out for crystalline Pa3Co9B2 at its relaxed geometry.

Results
total moment: 0.01 μB per formula unit
calculated volume: 183 Å³/cell

Cell and atoms, written as POSCAR:
```
Pa3Co9B2
1.0
-1.781 4.603 5.567
1.781 -4.603 5.567
1.781 4.603 -5.567
Pa Co B
3 9 2
direct
0.000 0.000 0.000
0.324 0.324 0.000
0.676 0.676 0.000
0.040 0.678 0.362
0.169 0.894 0.274
0.317 0.678 0.638
0.380 0.106 0.274
0.500 0.000 0.500
0.620 0.894 0.726
0.683 0.322 0.362
0.831 0.106 0.726
0.960 0.322 0.638
0.248 0.500 0.748
0.752 0.500 0.252
```

***

The data favor *one*; the next most stable structure lies 225 meV/atom above it.

***

*one*
A plane-wave DFT calculation with PBE-GGA was carried out for crystalline CoBPb3 at its relaxed geometry.

Results
total moment: 1.84 μB per formula unit
calculated volume: 126 Å³/cell

Cell and atoms, written as POSCAR:
```
CoBPb3
1.0
5.010 0.000 0.000
0.000 5.010 0.000
0.000 0.000 5.010
Co B Pb
1 1 3
direct
0.000 0.000 0.000
0.500 0.500 0.500
0.000 0.500 0.500
0.500 0.000 0.500
0.500 0.500 0.000
```

***

*two*
A plane-wave DFT calculation with PBE-GGA was carried out for crystalline CoBPb3 at its relaxed geometry.

Results
total moment: 0.00 μB per formula unit
calculated volume: 128 Å³/cell

Cell and atoms, written as POSCAR:
```
CoBPb3
1.0
5.038 0.000 0.000
0.000 5.038 0.000
0.000 0.000 5.038
Co B Pb
1 1 3
direct
0.000 0.000 0.000
0.500 0.500 0.500
0.000 0.000 0.500
0.000 0.500 0.000
0.500 0.000 0.000
```

***

The data favor *two*; the next most stable structure lies 78 meV/atom above it.

***

*one*
A plane-wave DFT calculation with PBE-GGA was carried out for crystalline Co2BPb at its relaxed geometry.

Results
total moment: 0.00 μB per formula unit
calculated volume: 128 Å³/cell

Cell and atoms, written as POSCAR:
```
Co2BPb
1.0
-2.535 2.535 4.981
2.535 -2.535 4.981
2.535 2.535 -4.981
Co B Pb
4 2 2
direct
0.375 0.237 0.362
0.763 0.125 0.138
0.875 0.013 0.638
0.987 0.625 0.862
0.000 0.000 0.000
0.750 0.250 0.500
0.250 0.750 0.500
0.500 0.500 0.000
```

***

*two*
A plane-wave DFT calculation with PBE-GGA was carried out for crystalline Co2BPb at its relaxed geometry.

Results
total moment: 1.20 μB per formula unit
calculated volume: 51 Å³/cell

Cell and atoms, written as POSCAR:
```
Co2BPb
1.0
0.000 2.953 2.953
2.953 0.000 2.953
2.953 2.953 0.000
Co B Pb
2 1 1
direct
0.250 0.250 0.250
0.750 0.750 0.750
0.000 0.000 0.000
0.500 0.500 0.500
```

***

The data favor *one*; the next most stable structure lies 310 meV/atom above it.

***

*one*
A plane-wave DFT calculation with PBE-GGA was carried out for crystalline Co3BPd at its relaxed geometry.

Results
total moment: 4.03 μB per formula unit
calculated volume: 57 Å³/cell

Cell and atoms, written as POSCAR:
```
Co3BPd
1.0
3.837 0.000 0.000
0.000 3.837 0.000
0.000 0.000 3.837
Co B Pd
3 1 1
direct
0.000 0.000 0.500
0.000 0.500 0.000
0.500 0.000 0.000
0.000 0.000 0.000
0.500 0.500 0.500
```

***

*two*
A plane-wave DFT calculation with PBE-GGA was carried out for crystalline Co3BPd at its relaxed geometry.

Results
total moment: 6.57 μB per formula unit
calculated volume: 94 Å³/cell

Cell and atoms, written as POSCAR:
```
Co3BPd
1.0
4.549 0.000 0.000
0.000 4.549 0.000
0.000 0.000 4.549
Co B Pd
3 1 1
direct
0.000 0.000 0.500
0.000 0.500 0.000
0.500 0.000 0.000
0.500 0.500 0.500
0.000 0.000 0.000
```

***

The data favor *one*; the next most stable structure lies 2077 meV/atom above it.

***

*one*
A plane-wave DFT calculation with PBE-GGA was carried out for crystalline PmCo3B3 at its relaxed geometry.

Results
total moment: 0.06 μB per formula unit
calculated volume: 163 Å³/cell

Cell and atoms, written as POSCAR:
```
PmCo3B3
1.0
2.634 1.521 6.778
-2.634 1.521 6.778
0.000 -3.042 6.778
Pm Co B
2 6 6
direct
0.161 0.161 0.161
0.839 0.839 0.839
0.062 0.603 0.205
0.205 0.062 0.603
0.397 0.795 0.938
0.603 0.205 0.062
0.795 0.938 0.397
0.938 0.397 0.795
0.210 0.599 0.391
0.391 0.210 0.599
0.401 0.609 0.790
0.599 0.391 0.210
0.609 0.790 0.401
0.790 0.401 0.609
```

***

*two*
A plane-wave DFT calculation with PBE-GGA was carried out for crystalline PmCo3B3 at its relaxed geometry.

Results
total moment: 0.00 μB per formula unit
calculated volume: 312 Å³/cell

Cell and atoms, written as POSCAR:
```
PmCo3B3
1.0
6.780 0.000 0.000
0.000 6.780 0.000
0.000 0.000 6.780
Pm Co B
4 12 12
direct
0.054 0.446 0.554
0.446 0.554 0.054
0.554 0.054 0.446
0.946 0.946 0.946
0.111 0.611 0.889
0.182 0.182 0.182
0.189 0.811 0.311
0.311 0.189 0.811
0.318 0.818 0.682
0.389 0.389 0.389
0.611 0.889 0.111
0.682 0.318 0.818
0.689 0.689 0.689
0.811 0.311 0.189
0.818 0.682 0.318
0.889 0.111 0.611
0.028 0.541 0.160
0.041 0.340 0.972
0.160 0.028 0.541
0.340 0.972 0.041
0.459 0.660 0.472
0.472 0.459 0.660
0.528 0.959 0.840
0.541 0.160 0.028
0.660 0.472 0.459
0.840 0.528 0.959
0.959 0.840 0.528
0.972 0.041 0.340
```

***

The data favor *one*; the next most stable structure lies 80 meV/atom above it.

***

*one*
A plane-wave DFT calculation with PBE-GGA was carried out for crystalline PmCo3B2 at its relaxed geometry.

Results
total moment: 0.14 μB per formula unit
calculated volume: 138 Å³/cell

Cell and atoms, written as POSCAR:
```
PmCo3B2
1.0
2.548 -5.665 0.000
2.548 5.665 0.000
0.000 0.000 4.781
Pm Co B
2 6 4
direct
0.088 0.912 0.750
0.912 0.088 0.250
0.035 0.446 0.750
0.446 0.035 0.250
0.482 0.518 0.750
0.518 0.482 0.250
0.554 0.965 0.750
0.965 0.554 0.250
0.344 0.656 0.064
0.344 0.656 0.436
0.656 0.344 0.564
0.656 0.344 0.936
```

***

*two*
A plane-wave DFT calculation with PBE-GGA was carried out for crystalline PmCo3B2 at its relaxed geometry.

Results
total moment: 2.34 μB per formula unit
calculated volume: 209 Å³/cell

Cell and atoms, written as POSCAR:
```
PmCo3B2
1.0
8.571 0.000 0.000
-4.286 7.423 0.000
0.000 0.000 3.288
Pm Co B
3 9 6
direct
0.000 0.000 0.000
0.333 0.667 0.500
0.667 0.333 0.500
0.000 0.286 0.500
0.000 0.500 0.000
0.000 0.714 0.500
0.286 0.000 0.500
0.286 0.286 0.500
0.500 0.000 0.000
0.500 0.500 0.000
0.714 0.000 0.500
0.714 0.714 0.500
0.185 0.369 0.000
0.185 0.815 0.000
0.369 0.185 0.000
0.631 0.815 0.000
0.815 0.185 0.000
0.815 0.631 0.000
```

***

The data favor *one*; the next most stable structure lies 140 meV/atom above it.